Density functional theory data (PBE) for an optimized crystal structure of BaSn3Pb.

The structure in POSCAR format:
```
BaSn3Pb
1.0
6.7110 0.0000 0.0000
0.0000 7.3285 0.0000
0.0000 0.0000 7.0708
Ba Sn Pb
2 6 2
Direct
0.0000 0.2466 0.0000
0.5000 0.7534 0.5000
0.0000 0.9103 0.6394
0.2501 0.2370 0.4876
0.2499 0.7630 0.9876
0.5000 0.0897 0.1394
0.7499 0.2370 0.4876
0.7501 0.7630 0.9876
0.0000 0.6044 0.3370
0.5000 0.3956 0.8370
```

Output
Magnetic moment: 0.0 μB/f.u.
ΔE_f: -133 kJ/mol of formula units
Distance to the lowest polymorph of the same formula: 0.44 kcal/mol of atoms
VASP energy: -3.803 eV/atom
Crystal system: orthorhombic
Symmetry: Pmn2_1, No. 31

Density functional theory data (PBE) for an optimized crystal structure of Ba2SnPb2.

The structure in POSCAR format:
```
Ba2SnPb2
1.0
-2.9262 2.9262 6.5979
2.9262 -2.9262 6.5979
2.9262 2.9262 -6.5979
Ba Sn Pb
2 1 2
Direct
0.2500 0.7500 0.5000
0.7500 0.2500 0.5000
0.0000 0.0000 0.0000
0.3943 0.3943 0.0000
0.6057 0.6057 0.0000
```

Output
Magnetic moment: 0.0 μB/f.u.
ΔE_f: 32 kJ/mol of formula units
Distance to the lowest polymorph of the same formula: 13.77 kcal/mol of atoms
VASP energy: -2.986 eV/atom
Crystal system: tetragonal
Symmetry: I4/mmm, No. 139

Density functional theory data (PBE) for an optimized crystal structure of Ba3Sn4Pb2.

The structure in POSCAR format:
```
Ba3Sn4Pb2
1.0
4.8377 0.0000 0.0000
-2.4188 6.9270 0.0000
-0.0071 -0.6560 10.0131
Ba Sn Pb
3 4 2
Direct
0.0000 0.0000 0.0000
0.3386 0.6780 0.3282
0.6614 0.3220 0.6718
0.0208 0.0427 0.3561
0.3117 0.6230 0.9790
0.6883 0.3770 0.0210
0.9792 0.9573 0.6439
0.3488 0.6967 0.6805
0.6512 0.3033 0.3195
```

Output
Magnetic moment: 0.0 μB/f.u.
ΔE_f: -465 kJ/mol of formula units
Distance to the lowest polymorph of the same formula: 0.00 kcal/mol of atoms
VASP energy: -3.780 eV/atom
Crystal system: triclinic
Symmetry: P-1, No. 2